Entry 1:
# Ta3MnH | the Alexandria database | PBEsol | relaxed
# E_tot: -9.97 eV/atom
data_Ta3MnH
_chemical_formula_sum 'Ta3 Mn1 H1'
_space_group_name_H-M_alt 'P m -3 m'
_space_group_IT_number 221
_space_group_name_Hall '-P 4 2 3'
_cell_length_a 4.0993
_cell_length_b 4.0993
_cell_length_c 4.0993
_cell_angle_alpha 90.00
_cell_angle_beta 90.00
_cell_angle_gamma 90.00
loop_
_atom_site_label
_atom_site_type_symbol
_atom_site_fract_x
_atom_site_fract_y
_atom_site_fract_z
_atom_site_occupancy
Ta1 Ta 0.0000 0.0000 0.5000 1
Mn1 Mn 0.5000 0.5000 0.5000 1
H1 H 0.0000 0.0000 0.0000 1

Entry 2:
# Re3TePt | the Alexandria database | PBEsol | relaxed
# E_tot: -7.65 eV/atom
# raw formation energy: 12.2 eV per formula unit
data_Re3TePt
_chemical_formula_sum 'Re3 Te1 Pt1'
_space_group_name_H-M_alt 'P m -3 m'
_space_group_IT_number 221
_space_group_name_Hall '-P 4 2 3'
_cell_length_a 4.7327
_cell_length_b 4.7327
_cell_length_c 4.7327
_cell_angle_alpha 90.00
_cell_angle_beta 90.00
_cell_angle_gamma 90.00
loop_
_atom_site_label
_atom_site_type_symbol
_atom_site_fract_x
_atom_site_fract_y
_atom_site_fract_z
_atom_site_occupancy
Re1 Re 0.0000 0.0000 0.5000 1
Te1 Te 0.5000 0.5000 0.5000 1
Pt1 Pt 0.0000 0.0000 0.0000 1

Entry 3:
# NaSr2Pd | the Alexandria database | PBEsol | relaxed
# E_tot: -2.91 eV/atom
# energy of formation from the pure elements: -0.15 eV per atom
data_NaSr2Pd
_chemical_formula_sum 'Na4 Sr8 Pd4'
_space_group_name_H-M_alt 'F m -3 m'
_space_group_IT_number 225
_space_group_name_Hall '-F 4 2 3'
_cell_length_a 7.8093
_cell_length_b 7.8093
_cell_length_c 7.8093
_cell_angle_alpha 90.00
_cell_angle_beta 90.00
_cell_angle_gamma 90.00
loop_
_atom_site_label
_atom_site_type_symbol
_atom_site_fract_x
_atom_site_fract_y
_atom_site_fract_z
_atom_site_occupancy
Na1 Na 0.0000 0.0000 0.0000 1
Sr1 Sr 0.2500 0.2500 0.2500 1
Pd1 Pd 0.0000 0.0000 0.5000 1

Entry 4:
# KCaSbTe2 | the Alexandria database | PBEsol | relaxed
# E_tot: -2.64 eV/atom
# raw formation energy: 1.7 eV per formula unit
data_KCaSbTe2
_chemical_formula_sum 'K1 Ca1 Sb1 Te2'
_space_group_name_H-M_alt 'P 4/m m m'
_space_group_IT_number 123
_space_group_name_Hall '-P 4 2'
_cell_length_a 5.8351
_cell_length_b 5.8351
_cell_length_c 5.5475
_cell_angle_alpha 90.00
_cell_angle_beta 90.00
_cell_angle_gamma 90.00
loop_
_atom_site_label
_atom_site_type_symbol
_atom_site_fract_x
_atom_site_fract_y
_atom_site_fract_z
_atom_site_occupancy
K1 K 0.0000 0.0000 0.0000 1
Ca1 Ca 0.5000 0.5000 0.5000 1
Sb1 Sb 0.0000 0.0000 0.5000 1
Te1 Te 0.0000 0.5000 0.0000 1

Entry 5:
# KCa2Ta | the Alexandria database | PBEsol | relaxed
# E_tot: -3.48 eV/atom
# energy of formation from the pure elements: 1.01 eV per atom
data_KCa2Ta
_chemical_formula_sum 'K1 Ca2 Ta1'
_space_group_name_H-M_alt 'P m m 2'
_space_group_IT_number 25
_space_group_name_Hall 'P 2 -2'
_cell_length_a 3.2682
_cell_length_b 5.1175
_cell_length_c 8.4121
_cell_angle_alpha 90.00
_cell_angle_beta 90.00
_cell_angle_gamma 90.00
loop_
_atom_site_label
_atom_site_type_symbol
_atom_site_fract_x
_atom_site_fract_y
_atom_site_fract_z
_atom_site_occupancy
K1 K 0.0000 0.0000 0.0000 1
Ca1 Ca 0.0000 0.0000 0.4212 1
Ca2 Ca 0.5000 0.5000 0.6597 1
Ta1 Ta 0.5000 0.5000 0.2883 1

Entry 6:
# Li2B2H9N | the Alexandria database | PBEsol | relaxed
# E_tot: -4.39 eV/atom
data_Li2B2H9N
_chemical_formula_sum 'Li16 B16 H72 N8'
_space_group_name_H-M_alt 'P b c a'
_space_group_IT_number 61
_space_group_name_Hall '-P 2ac 2ab'
_cell_length_a 7.2252
_cell_length_b 9.1119
_cell_length_c 13.6255
_cell_angle_alpha 90.00
_cell_angle_beta 90.00
_cell_angle_gamma 90.00
loop_
_atom_site_label
_atom_site_type_symbol
_atom_site_fract_x
_atom_site_fract_y
_atom_site_fract_z
_atom_site_occupancy
Li1 Li 0.1007 0.1412 0.0524 1
Li2 Li 0.1258 0.7052 0.7211 1
B1 B 0.1184 0.1188 0.2293 1
B2 B 0.1761 0.6547 0.5370 1
H1 H 0.0065 0.0180 0.6635 1
H2 H 0.0248 0.6298 0.3207 1
H3 H 0.0291 0.6570 0.5834 1
H4 H 0.1356 0.2376 0.2748 1
H5 H 0.1804 0.7375 0.9822 1
H6 H 0.1828 0.5447 0.4844 1
H7 H 0.1923 0.1520 0.5937 1
H8 H 0.2180 0.5140 0.8448 1
H9 H 0.2484 0.6113 0.1715 1
N1 N 0.1119 0.5172 0.7947 1

Entry 7:
# Mg4ZrCu | the Alexandria database | PBEsol | relaxed
# E_tot: -2.96 eV/atom
# energy of formation from the pure elements: 0.42 eV per atom
data_Mg4ZrCu
_chemical_formula_sum 'Mg16 Zr4 Cu4'
_space_group_name_H-M_alt 'F -4 3 m'
_space_group_IT_number 216
_space_group_name_Hall 'F -4 2 3'
_cell_length_a 7.8856
_cell_length_b 7.8856
_cell_length_c 7.8856
_cell_angle_alpha 90.00
_cell_angle_beta 90.00
_cell_angle_gamma 90.00
loop_
_atom_site_label
_atom_site_type_symbol
_atom_site_fract_x
_atom_site_fract_y
_atom_site_fract_z
_atom_site_occupancy
Mg1 Mg 0.1254 0.1254 0.1254 1
Zr1 Zr 0.0000 0.0000 0.5000 1
Cu1 Cu 0.2500 0.2500 0.7500 1

Entry 8:
# SrMgCo2 | the Alexandria database | PBEsol | relaxed
# E_tot: -4.06 eV/atom
# energy of formation from the pure elements: 0.70 eV per atom
data_SrMgCo2
_chemical_formula_sum 'Sr1 Mg1 Co2'
_space_group_name_H-M_alt 'P 4/m m m'
_space_group_IT_number 123
_space_group_name_Hall '-P 4 2'
_cell_length_a 4.5322
_cell_length_b 4.5322
_cell_length_c 3.3896
_cell_angle_alpha 90.00
_cell_angle_beta 90.00
_cell_angle_gamma 90.00
loop_
_atom_site_label
_atom_site_type_symbol
_atom_site_fract_x
_atom_site_fract_y
_atom_site_fract_z
_atom_site_occupancy
Sr1 Sr 0.0000 0.0000 0.0000 1
Mg1 Mg 0.5000 0.5000 0.0000 1
Co1 Co 0.0000 0.5000 0.5000 1